[1]
## Tm4Ga2Hg5 (GGA-PBE)

Data for a relaxed Tm4Ga2Hg5 crystal.

Lattice parameters (Å, degrees): 7.6758 3.6600 9.2753 90.00 93.16 90.00
Positions (direct):
Tm: 0.1933 0.0000 0.3637
Tm: 0.2466 0.0000 0.9208
Tm: 0.7534 0.0000 0.0792
Tm: 0.8067 0.0000 0.6363
Ga: 0.0675 0.5000 0.1270
Ga: 0.9325 0.5000 0.8730
Hg: 0.1486 0.5000 0.6376
Hg: 0.4433 0.5000 0.1705
Hg: 0.5000 0.5000 0.5000
Hg: 0.5567 0.5000 0.8295
Hg: 0.8514 0.5000 0.3624


[2]
## Tm6Ga2Hg (GGA-PBE)

Data for a relaxed Tm6Ga2Hg crystal.

Results
Distance to the lowest polymorph of the same formula: 0.0 meV per atom

Lattice parameters (Å, degrees): 8.4784 8.4784 8.4784 112.11 111.68 104.72
Positions (direct):
Tm: 0.0270 0.8228 0.2042
Tm: 0.2456 0.5465 0.3009
Tm: 0.2456 0.9447 0.6991
Tm: 0.2758 0.3177 0.5934
Tm: 0.2758 0.6823 0.9581
Tm: 0.3813 0.1772 0.2042
Tm: 0.6187 0.8228 0.7958
Tm: 0.7242 0.3177 0.0419
Tm: 0.7242 0.6823 0.4066
Tm: 0.7544 0.0553 0.3009
Tm: 0.7544 0.4535 0.6991
Tm: 0.9730 0.1772 0.7958
Ga: 0.0000 0.1479 0.1479
Ga: 0.0000 0.8521 0.8521
Ga: 0.3778 0.3778 0.0000
Ga: 0.6222 0.6222 0.0000
Hg: 0.0000 0.5000 0.5000
Hg: 0.5000 0.0000 0.5000


[3]
## Tm3GaHg2 (GGA-PBE)

Data for a relaxed Tm3GaHg2 crystal.

Lattice parameters (Å, degrees): 3.6344 3.6344 10.8444 90.00 90.00 90.00
Positions (direct):
Tm: 0.0000 0.0000 0.0000
Tm: 0.0000 0.0000 0.3427
Tm: 0.0000 0.0000 0.6573
Ga: 0.5000 0.5000 0.5000
Hg: 0.5000 0.5000 0.1705
Hg: 0.5000 0.5000 0.8295


[4]
## Tm2Ga2Hg (GGA-PBE)

Data for a relaxed Tm2Ga2Hg crystal.

Lattice parameters (Å, degrees): 7.5700 7.5700 3.5582 90.00 90.00 147.51
Positions (direct):
Tm: 0.1238 0.8762 0.0000
Tm: 0.8762 0.1238 0.0000
Ga: 0.2984 0.7016 0.5000
Ga: 0.7016 0.2984 0.5000
Hg: 0.5000 0.5000 0.5000


[5]
## Tm2Ga2Hg3 (GGA-PBE)

Data for a relaxed Tm2Ga2Hg3 crystal.

Lattice parameters (Å, degrees): 5.7866 5.7866 6.6776 93.30 93.30 44.67
Positions (direct):
Tm: 0.1249 0.1249 0.3228
Tm: 0.8751 0.8751 0.6772
Ga: 0.4088 0.4088 0.3759
Ga: 0.5912 0.5912 0.6241
Hg: 0.1929 0.1929 0.8381
Hg: 0.5000 0.5000 0.0000
Hg: 0.8071 0.8071 0.1619


[6]
## Tm6Ga2Hg (GGA-PBE)

Data for a relaxed Tm6Ga2Hg crystal.

Results
Distance to the lowest polymorph of the same formula: 143.4 meV per atom

Lattice parameters (Å, degrees): 6.3313 8.0955 10.8290 90.00 119.90 90.00
Positions (direct):
Tm: 0.0649 0.0437 0.2177
Tm: 0.0649 0.4563 0.7177
Tm: 0.1679 0.6939 0.0656
Tm: 0.1679 0.8061 0.5656
Tm: 0.4176 0.1523 0.0650
Tm: 0.4176 0.3477 0.5650
Tm: 0.5824 0.6523 0.4350
Tm: 0.5824 0.8477 0.9350
Tm: 0.8321 0.1939 0.4344
Tm: 0.8321 0.3061 0.9344
Tm: 0.9351 0.5437 0.2823
Tm: 0.9351 0.9563 0.7823
Ga: 0.3113 0.1310 0.7453
Ga: 0.3113 0.3690 0.2453
Ga: 0.6887 0.6310 0.7547
Ga: 0.6887 0.8690 0.2547
Hg: 0.5000 0.0000 0.5000
Hg: 0.5000 0.5000 0.0000


[7]
## Tm4Ga2Hg (GGA-PBE)

Data for a relaxed Tm4Ga2Hg crystal.

Lattice parameters (Å, degrees): 9.4384 9.4384 9.4384 30.04 30.04 30.04
Positions (direct):
Tm: 0.1189 0.1189 0.1189
Tm: 0.2958 0.2958 0.2958
Tm: 0.7042 0.7042 0.7042
Tm: 0.8811 0.8811 0.8811
Ga: 0.4017 0.4017 0.4017
Ga: 0.5983 0.5983 0.5983
Hg: 0.5000 0.5000 0.5000


[8]
## Tm2GaHg (GGA-PBE)

Data for a relaxed Tm2GaHg crystal.

Lattice parameters (Å, degrees): 5.1167 3.5744 10.2468 90.00 90.00 90.00
Positions (direct):
Tm: 0.2500 0.0000 0.1144
Tm: 0.2500 0.0000 0.6316
Tm: 0.7500 0.0000 0.3684
Tm: 0.7500 0.0000 0.8856
Ga: 0.2500 0.5000 0.8728
Ga: 0.7500 0.5000 0.1272
Hg: 0.2500 0.5000 0.3698
Hg: 0.7500 0.5000 0.6302


[9]
## Tm2GaHg2 (GGA-PBE)

Data for a relaxed Tm2GaHg2 crystal.

Results
Distance to the lowest polymorph of the same formula: 0.0 meV per atom

Lattice parameters (Å, degrees): 5.9239 5.9239 10.9385 113.47 113.47 42.93
Positions (direct):
Tm: 0.0018 0.0018 0.3295
Tm: 0.1827 0.1827 0.1058
Tm: 0.8173 0.8173 0.8942
Tm: 0.9982 0.9982 0.6705
Ga: 0.2879 0.2879 0.6851
Ga: 0.7121 0.7121 0.3149
Hg: 0.3498 0.3498 0.4479
Hg: 0.4556 0.4556 0.1120
Hg: 0.5444 0.5444 0.8880
Hg: 0.6502 0.6502 0.5521


[10]
## TmGaHg (GGA-PBE)

Data for a relaxed TmGaHg crystal.

Lattice parameters (Å, degrees): 8.5736 8.5736 4.2311 90.00 90.00 154.62
Positions (direct):
Tm: 0.1031 0.8969 0.7500
Tm: 0.8969 0.1031 0.2500
Ga: 0.4573 0.5427 0.7500
Ga: 0.5427 0.4573 0.2500
Hg: 0.2905 0.7095 0.7500
Hg: 0.7095 0.2905 0.2500


[11]
## Tm2GaHg2 (GGA-PBE)

Data for a relaxed Tm2GaHg2 crystal.

Results
Distance to the lowest polymorph of the same formula: 50.5 meV per atom

Lattice parameters (Å, degrees): 10.4798 10.4798 3.3996 90.00 90.00 161.10
Positions (direct):
Tm: 0.0900 0.9100 0.0000
Tm: 0.9100 0.0900 0.0000
Ga: 0.5000 0.5000 0.5000
Hg: 0.3107 0.6893 0.5000
Hg: 0.6893 0.3107 0.5000


[12]
## Tm6GaHg2 (GGA-PBE)

Data for a relaxed Tm6GaHg2 crystal.

Lattice parameters (Å, degrees): 7.2096 7.2096 11.1623 90.00 90.00 90.00
Positions (direct):
Tm: 0.2179 0.2179 0.1581
Tm: 0.2179 0.2179 0.8419
Tm: 0.2244 0.2244 0.5000
Tm: 0.2756 0.7244 0.0000
Tm: 0.2821 0.7179 0.3419
Tm: 0.2821 0.7179 0.6581
Tm: 0.7179 0.2821 0.3419
Tm: 0.7179 0.2821 0.6581
Tm: 0.7244 0.2756 0.0000
Tm: 0.7756 0.7756 0.5000
Tm: 0.7821 0.7821 0.1581
Tm: 0.7821 0.7821 0.8419
Ga: 0.0000 0.0000 0.0000
Ga: 0.5000 0.5000 0.5000
Hg: 0.0000 0.0000 0.3277
Hg: 0.0000 0.0000 0.6723
Hg: 0.5000 0.5000 0.1723
Hg: 0.5000 0.5000 0.8277


[13]
## TmZnGaHg (GGA-PBE)

Data for a relaxed TmZnGaHg crystal.

Lattice parameters (Å, degrees): 4.8775 4.8775 4.8775 60.00 60.00 60.00
Positions (direct):
Tm: 0.0000 0.0000 0.0000
Zn: 0.5000 0.5000 0.5000
Ga: 0.2500 0.2500 0.2500
Hg: 0.7500 0.7500 0.7500


[14]
## TmZrGaHg (GGA-PBE)

Data for a relaxed TmZrGaHg crystal.

Lattice parameters (Å, degrees): 4.9835 4.9835 4.9835 60.00 60.00 60.00
Positions (direct):
Tm: 0.0000 0.0000 0.0000
Zr: 0.5000 0.5000 0.5000
Ga: 0.2500 0.2500 0.2500
Hg: 0.7500 0.7500 0.7500


[15]
## UGa2Hg (GGA-PBE)

Data for a relaxed UGa2Hg crystal.

Results
Distance to the lowest polymorph of the same formula: 111.5 meV per atom

Lattice parameters (Å, degrees): 2.8763 2.8763 9.9002 90.00 90.00 90.00
Positions (direct):
U: 0.0000 0.0000 0.0000
Ga: 0.5000 0.5000 0.2323
Ga: 0.5000 0.5000 0.7677
Hg: 0.0000 0.0000 0.5000


[16]
## U4Ga15Hg (GGA-PBE)

Data for a relaxed U4Ga15Hg crystal.

Lattice parameters (Å, degrees): 4.2468 4.2468 21.6857 90.00 90.00 90.00
Positions (direct):
U: 0.0000 0.0000 0.0993
U: 0.0000 0.0000 0.2968
U: 0.0000 0.0000 0.7032
U: 0.0000 0.0000 0.9007
Ga: 0.0000 0.5000 0.0000
Ga: 0.0000 0.5000 0.1978
Ga: 0.0000 0.5000 0.3971
Ga: 0.0000 0.5000 0.6029
Ga: 0.0000 0.5000 0.8022
Ga: 0.5000 0.0000 0.0000
Ga: 0.5000 0.0000 0.1978
Ga: 0.5000 0.0000 0.3971
Ga: 0.5000 0.0000 0.6029
Ga: 0.5000 0.0000 0.8022
Ga: 0.5000 0.5000 0.0985
Ga: 0.5000 0.5000 0.2913
Ga: 0.5000 0.5000 0.5000
Ga: 0.5000 0.5000 0.7087
Ga: 0.5000 0.5000 0.9015
Hg: 0.0000 0.0000 0.5000


[17]
## UGa2Hg (GGA-PBE)

Data for a relaxed UGa2Hg crystal.

Results
Distance to the lowest polymorph of the same formula: 132.1 meV per atom

Lattice parameters (Å, degrees): 4.9157 4.9157 4.9157 60.00 60.00 60.00
Positions (direct):
U: 0.0000 0.0000 0.0000
Ga: 0.2500 0.2500 0.2500
Ga: 0.7500 0.7500 0.7500
Hg: 0.5000 0.5000 0.5000


[18]
## UGaHg (GGA-PBE)

Data for a relaxed UGaHg crystal.

Results
Distance to the lowest polymorph of the same formula: 0.0 meV per atom

Lattice parameters (Å, degrees): 4.9887 4.9887 2.9903 90.00 90.00 120.00
Positions (direct):
U: 0.0000 0.0000 0.0000
Ga: 0.6667 0.3333 0.5000
Hg: 0.3333 0.6667 0.5000


[19]
## UGaHg (GGA-PBE)

Data for a relaxed UGaHg crystal.

Results
Distance to the lowest polymorph of the same formula: 7.1 meV per atom

Lattice parameters (Å, degrees): 3.6907 3.6907 9.4188 91.73 91.73 82.80
Positions (direct):
U: 0.2107 0.2107 0.0537
U: 0.7893 0.7893 0.9463
Ga: 0.2702 0.2702 0.7476
Ga: 0.7298 0.7298 0.2524
Hg: 0.2397 0.2397 0.4009
Hg: 0.7603 0.7603 0.5991


[20]
## UGa2Hg (GGA-PBE)

Data for a relaxed UGa2Hg crystal.

Results
Distance to the lowest polymorph of the same formula: 0.0 meV per atom

Lattice parameters (Å, degrees): 4.5244 4.5244 4.1635 90.00 90.00 90.00
Positions (direct):
U: 0.0000 0.0000 0.0000
Ga: 0.0000 0.5000 0.5000
Ga: 0.5000 0.0000 0.5000
Hg: 0.5000 0.5000 0.0000


| no. | E_form (eV per atom) | size of the total moment (Bohr magnetons per cell) |
| --- | --- | --- |
| 1 | -0.42 | 0.00 |
| 2 | -0.42 | 0.00 |
| 3 | -0.50 | 0.00 |
| 4 | -0.53 | 0.00 |
| 5 | -0.35 | 0.00 |
| 6 | -0.27 | 0.00 |
| 7 | -0.26 | 0.00 |
| 8 | -0.51 | 0.00 |
| 9 | -0.43 | 0.00 |
| 10 | -0.46 | 0.00 |
| 11 | -0.38 | 0.00 |
| 12 | 0.03 | 0.00 |
| 13 | -0.28 | 0.00 |
| 14 | -0.35 | 0.00 |
| 15 | 0.08 | 1.19 |
| 16 | -0.14 | 0.25 |
| 17 | 0.10 | 2.35 |
| 18 | 0.02 | 3.04 |
| 19 | 0.03 | 0.00 |
| 20 | -0.03 | 2.62 |